Here is crystalline Er3ThAl8 at its relaxed geometry from Alexandria via LeMat-Bulk. Energies are from PBE-GGA.

Unit cell a=9.6652 b=9.6652 c=9.6652 alpha=33.52 beta=33.52 gamma=33.52
Closest atoms and distances in Å follow each position.
Atoms (fractional coordinates):
Er 0.0000 0.0000 0.0000  12 Al 3.27-3.32, 1 Er 3.40, 3 Th 3.42
Er 0.1242 0.1242 0.1242  12 Al 3.24-3.27, 4 Er 3.40-3.41
Er 0.4983 0.4983 0.4983  12 Al 3.23-3.27, 3 Er 3.41, 1 Th 3.44
Th 0.6242 0.6242 0.6242  12 Al 3.27-3.29, 4 Er 3.42-3.44
Al 0.0610 0.0610 0.5598  6 Al 2.78-2.83
Al 0.0610 0.5598 0.0610  6 Al 2.78-2.83
Al 0.0630 0.5624 0.5624  6 Al 2.76-2.79
Al 0.3123 0.3123 0.3123  6 Al 2.79-2.83
Al 0.5598 0.0610 0.0610  6 Al 2.78-2.83
Al 0.5624 0.0630 0.5624  6 Al 2.76-2.79
Al 0.5624 0.5624 0.0630  6 Al 2.76-2.79
Al 0.8111 0.8111 0.8111  6 Al 2.76-2.78

Summary:
The crystal system is trigonal. The value obtained for the magnetization is 0.00 μB per cell. The space group is No. 160. As for the energy relative to the elements: -5.787 eV per formula unit. The density is 6.43 Mg/m³. Its density of states at the Fermi level is 0.78 states/eV per atom. As for the relative energy among the computed polymorphs: 0.00 kcal/mol of atoms.



Here is crystalline ErThAl at its relaxed geometry from Alexandria via LeMat-Bulk. Energies are from PBE-GGA.

Unit cell a=4.7720 b=4.7720 c=7.5292 alpha=90.00 beta=90.00 gamma=90.00
Closest atoms and distances in Å follow each position.
Atoms (fractional coordinates):
Er 0.2500 0.2500 0.2483  4 Al 3.03, 4 Th 3.38
Er 0.7500 0.7500 0.7517  4 Al 3.03, 4 Th 3.38
Th 0.2500 0.2500 0.7194  4 Al 3.19, 5 Er 3.38-3.55
Th 0.7500 0.7500 0.2806  4 Al 3.19, 5 Er 3.38-3.55
Al 0.2500 0.7500 0.0000  4 Er 3.03, 4 Th 3.19, 4 Al 3.37
Al 0.7500 0.2500 0.0000  4 Er 3.03, 4 Th 3.19, 4 Al 3.37

Summary:
The crystal system is tetragonal. The value obtained for the magnetization is 0.00 μB per cell. The space group is No. 129. As for the energy relative to the elements: 0.085 eV per formula unit. The density is 8.26 Mg/m³. Its density of states at the Fermi level is 0.76 states/eV per atom. As for the relative energy among the computed polymorphs: 4.54 kcal/mol of atoms.



Here is crystalline ErThAl2 at its relaxed geometry from Alexandria via LeMat-Bulk. Energies are from PBE-GGA.

Unit cell a=3.5956 b=3.5956 c=7.5238 alpha=90.00 beta=90.00 gamma=90.00
Closest atoms and distances in Å follow each position.
Atoms (fractional coordinates):
Er 0.0000 0.0000 0.0000  8 Al 3.09
Th 0.0000 0.0000 0.5000  8 Al 3.24, 4 Th 3.60
Al 0.5000 0.5000 0.2326  4 Er 3.09, 4 Th 3.24
Al 0.5000 0.5000 0.7674  4 Er 3.09, 4 Th 3.24

Summary:
The crystal system is tetragonal. The value obtained for the magnetization is 0.00 μB per cell. The space group is No. 123. As for the energy relative to the elements: -1.230 eV per formula unit. The density is 7.74 Mg/m³. Its density of states at the Fermi level is 0.63 states/eV per atom. As for the relative energy among the computed polymorphs: 0.03 kcal/mol of atoms.



Here is crystalline Er3ThAl8 at its relaxed geometry from Alexandria via LeMat-Bulk. Energies are from PBE-GGA.

Unit cell a=5.5475 b=5.5475 c=9.2103 alpha=90.00 beta=90.00 gamma=120.00
Closest atoms and distances in Å follow each position.
Atoms (fractional coordinates):
Er 0.0000 0.0000 0.0000  12 Al 3.24-3.27, 4 Er 3.36-3.43
Er 0.0000 0.0000 0.3652  12 Al 3.25-3.36, 1 Er 3.36, 3 Th 3.44
Er 0.3333 0.6667 0.8674  12 Al 3.23-3.29, 1 Th 3.38, 3 Er 3.43
Th 0.3333 0.6667 0.5006  12 Al 3.27-3.33, 4 Er 3.38-3.44
Al 0.0080 0.5040 0.1818  6 Al 2.71-2.84
Al 0.3261 0.1631 0.6880  6 Al 2.71-2.88
Al 0.4960 0.5040 0.1818  6 Al 2.71-2.84
Al 0.4960 0.9920 0.1818  6 Al 2.71-2.84
Al 0.6667 0.3333 0.4309  6 Al 2.82-2.88
Al 0.6667 0.3333 0.9379  6 Al 2.78-2.82
Al 0.8369 0.1631 0.6880  6 Al 2.71-2.88
Al 0.8369 0.6739 0.6880  6 Al 2.71-2.88

Summary:
The crystal system is trigonal. The value obtained for the magnetization is 0.00 μB per cell. The space group is No. 156. As for the energy relative to the elements: -5.637 eV per formula unit. The density is 6.42 Mg/m³. Its density of states at the Fermi level is 0.66 states/eV per atom. As for the relative energy among the computed polymorphs: 0.29 kcal/mol of atoms.



Here is crystalline ErThAl2 at its relaxed geometry from Alexandria via LeMat-Bulk. Energies are from PBE-GGA.

Unit cell a=4.8342 b=4.8342 c=4.2081 alpha=90.00 beta=90.00 gamma=90.00
Closest atoms and distances in Å follow each position.
Atoms (fractional coordinates):
Er 0.0000 0.0000 0.0000  8 Al 3.20, 4 Th 3.42
Th 0.5000 0.5000 0.0000  8 Al 3.20, 4 Er 3.42
Al 0.0000 0.5000 0.5000  4 Th 3.20, 4 Er 3.20, 4 Al 3.42
Al 0.5000 0.0000 0.5000  4 Th 3.20, 4 Er 3.20, 4 Al 3.42

Summary:
The crystal system is tetragonal. The value obtained for the magnetization is 0.00 μB per cell. The space group is No. 123. As for the energy relative to the elements: -1.107 eV per formula unit. The density is 7.65 Mg/m³. Its density of states at the Fermi level is 0.84 states/eV per atom. As for the relative energy among the computed polymorphs: 0.74 kcal/mol of atoms.



Here is crystalline Er2ThAl6 at its relaxed geometry from Alexandria via LeMat-Bulk. Energies are from PBE-GGA.

Unit cell a=7.9362 b=7.9362 c=7.9362 alpha=148.31 beta=126.06 gamma=63.93
Closest atoms and distances in Å follow each position.
Atoms (fractional coordinates):
Er 0.1242 0.1242 0.0000  10 Al 2.94-3.20
Er 0.8758 0.8758 0.0000  10 Al 2.94-3.20
Th 0.5000 0.0000 0.5000  4 Al 3.15
Al 0.1240 0.3166 0.8074  4 Al 2.63-2.93, 1 Er 2.94
Al 0.1823 0.5000 0.6823  3 Al 2.62-2.63
Al 0.4909 0.6834 0.8074  4 Al 2.63-2.93, 1 Er 2.94
Al 0.5091 0.3166 0.1926  4 Al 2.63-2.93, 1 Er 2.94
Al 0.8177 0.5000 0.3177  3 Al 2.62-2.63
Al 0.8760 0.6834 0.1926  4 Al 2.63-2.93, 1 Er 2.94

Summary:
The crystal system is orthorhombic. The value obtained for the magnetization is 0.00 μB per cell. The space group is No. 71. As for the energy relative to the elements: -1.930 eV per formula unit. The density is 5.76 Mg/m³. Its density of states at the Fermi level is 0.89 states/eV per atom. As for the relative energy among the computed polymorphs: 5.33 kcal/mol of atoms.



Question: relative energy among the computed polymorphs of number 6 (Er2ThAl6)?
Answer: 5.33 kcal/mol of atoms